Density functional theory data (PBE with a Hubbard U) for an optimized crystal structure of SrMg30CoO32.

Cell: 8.5897 8.5897 8.6129 Å, 90.00 90.00 90.00°
Closest atoms and distances in Å follow each position.
Sites, in units of the cell vectors:
Sr (0.0000, 0.0000, 0.0000)  6 O 2.32-2.33
Mg (0.0000, 0.0000, 0.5000)  6 O 1.98-2.18
Mg (0.0000, 0.2554, 0.2554)  6 O 2.10-2.20
Mg (0.0000, 0.2554, 0.7446)  6 O 2.10-2.20
Mg (0.0000, 0.5000, 0.0000)  6 O 1.97-2.18
Mg (0.0000, 0.5000, 0.5000)  6 O 2.12-2.15
Mg (0.0000, 0.7446, 0.2554)  6 O 2.10-2.20
Mg (0.0000, 0.7446, 0.7446)  6 O 2.10-2.20
Mg (0.2507, 0.2507, 0.5000)  6 O 2.14-2.16
Mg (0.2507, 0.7493, 0.5000)  6 O 2.14-2.16
Mg (0.2517, 0.5000, 0.2507)  6 O 2.13-2.16
Mg (0.2517, 0.5000, 0.7493)  6 O 2.13-2.16
Mg (0.2554, 0.0000, 0.2554)  6 O 2.10-2.20
Mg (0.2554, 0.0000, 0.7446)  6 O 2.10-2.20
Mg (0.2550, 0.2550, 0.0000)  6 O 2.10-2.19
Mg (0.2550, 0.7450, 0.0000)  6 O 2.10-2.19
Mg (0.5000, 0.0000, 0.0000)  6 O 1.97-2.18
Mg (0.5000, 0.0000, 0.5000)  6 O 2.12-2.15
Mg (0.5000, 0.2517, 0.2507)  6 O 2.13-2.16
Mg (0.5000, 0.2517, 0.7493)  6 O 2.13-2.16
Mg (0.5000, 0.5000, 0.5000)  6 O 2.09-2.15
Mg (0.5000, 0.7483, 0.2507)  6 O 2.13-2.16
Mg (0.5000, 0.7483, 0.7493)  6 O 2.13-2.16
Mg (0.7446, 0.0000, 0.2554)  6 O 2.10-2.20
Mg (0.7446, 0.0000, 0.7446)  6 O 2.10-2.20
Mg (0.7450, 0.2550, 0.0000)  6 O 2.10-2.19
Mg (0.7450, 0.7450, 0.0000)  6 O 2.10-2.19
Mg (0.7483, 0.5000, 0.2507)  6 O 2.13-2.16
Mg (0.7483, 0.5000, 0.7493)  6 O 2.13-2.16
Mg (0.7493, 0.2507, 0.5000)  6 O 2.14-2.16
Mg (0.7493, 0.7493, 0.5000)  6 O 2.14-2.16
Co (0.5000, 0.5000, 0.0000)  6 O 2.12-2.22
O (0.0000, 0.0000, 0.2701)  5 Mg 1.98-2.20
O (0.0000, 0.0000, 0.7299)  5 Mg 1.98-2.20
O (0.0000, 0.2536, 0.5000)  6 Mg 2.11-2.18
O (0.0000, 0.2704, 0.0000)  5 Mg 1.97-2.20
O (0.0000, 0.5000, 0.2533)  6 Mg 2.10-2.18
O (0.0000, 0.5000, 0.7467)  6 Mg 2.10-2.18
O (0.0000, 0.7296, 0.0000)  5 Mg 1.97-2.20
O (0.0000, 0.7464, 0.5000)  6 Mg 2.11-2.18
O (0.2500, 0.2500, 0.2494)  6 Mg 2.15-2.16
O (0.2500, 0.2500, 0.7506)  6 Mg 2.15-2.16
O (0.2501, 0.5000, 0.5000)  6 Mg 2.14-2.15
O (0.2500, 0.7500, 0.2494)  6 Mg 2.15-2.16
O (0.2500, 0.7500, 0.7506)  6 Mg 2.15-2.16
O (0.2535, 0.5000, 0.0000)  5 Mg 2.10-2.18, 1 Co 2.12
O (0.2536, 0.0000, 0.5000)  6 Mg 2.11-2.18
O (0.2704, 0.0000, 0.0000)  5 Mg 1.97-2.20
O (0.5000, 0.0000, 0.2533)  6 Mg 2.10-2.18
O (0.5000, 0.0000, 0.7467)  6 Mg 2.10-2.18
O (0.5000, 0.2501, 0.5000)  6 Mg 2.14-2.15
O (0.5000, 0.2535, 0.0000)  5 Mg 2.10-2.18, 1 Co 2.12
O (0.5000, 0.5000, 0.2573)  5 Mg 2.09-2.13, 1 Co 2.22
O (0.5000, 0.5000, 0.7427)  5 Mg 2.09-2.13, 1 Co 2.22
O (0.5000, 0.7465, 0.0000)  5 Mg 2.10-2.18, 1 Co 2.12
O (0.5000, 0.7499, 0.5000)  6 Mg 2.14-2.15
O (0.7296, 0.0000, 0.0000)  5 Mg 1.97-2.20
O (0.7464, 0.0000, 0.5000)  6 Mg 2.11-2.18
O (0.7465, 0.5000, 0.0000)  5 Mg 2.10-2.18, 1 Co 2.12
O (0.7500, 0.2500, 0.2494)  6 Mg 2.15-2.16
O (0.7500, 0.2500, 0.7506)  6 Mg 2.15-2.16
O (0.7499, 0.5000, 0.5000)  6 Mg 2.14-2.15
O (0.7500, 0.7500, 0.2494)  6 Mg 2.15-2.16
O (0.7500, 0.7500, 0.7506)  6 Mg 2.15-2.16

Computed properties:
spin magnetization: 3.1 μB per formula unit
energy: -5.950 eV per atom